1.
First-principles (PBE) data for a relaxed PuNbCo crystal, as listed in Alexandria.

Output
Energy relative to the elements in eV per atom: 0.01
Total magnetic moment in μB/cell: 8.58
N(E_F) in states/eV/cell: 16.174

Structure (POSCAR):
```
PuNbCo
1.0
-2.028 -2.989 3.655
5.070 0.804 -0.243
-1.970 4.756 1.040
Pu Nb Co
2 2 2
Direct
0.662 0.338 0.000
0.338 0.662 0.000
0.839 0.839 0.678
0.161 0.161 0.322
0.750 0.250 0.500
0.250 0.750 0.500
```


2.
First-principles (PBE) data for a relaxed PuNbCo2 crystal, as listed in Alexandria.

Output
Energy relative to the elements in eV per atom: 0.16
Total magnetic moment in μB/cell: 3.82
N(E_F) in states/eV/cell: 9.785

Structure (POSCAR):
```
PuNbCo2
1.0
4.483 0.000 0.000
2.242 3.883 0.000
2.242 1.294 3.664
Nb Co Pu
1 2 1
Direct
0.500 0.500 0.500
0.750 0.750 0.750
0.250 0.250 0.250
0.000 0.000 0.000
```


| no. | energy above the most stable polymorph in this dataset (eV per atom) |
| --- | --- |
| 1 | 0.0000 |
| 2 | 0.1419 |